The following is a DFT calculation (PBE+U) of a geometry-optimized FeSeIO2 structure.

Calculated values
energy relative to the lowest polymorph listed for this composition = 0 meV/atom
spin magnetization = 1.0741 μB/atom
total DFT energy (no corrections) = -4.205 eV per atom

Lattice parameters (Å, degrees): 3.8915 3.8915 6.9775 90.00 90.00 90.00
Site moments in Bohr magnetons follow the coordinates.
Fractional coordinates of all 5 atoms:
I 0.0000 0.0000 0.5000  0.02
O 0.5000 0.0000 0.0000  0.49
O 0.0000 0.5000 0.0000  0.49
Fe 0.0000 0.0000 0.0000  4.12
Se 0.5000 0.5000 0.5000  -0.01